Entry 1:
VASP calculation (PBE) on TbScCdCo after structural relaxation.

Cell lengths 3.3115, 3.3115, 7.5099 Å; angles 90.00, 90.00, 90.00 degrees
With the nearest neighbours (Å) after each atom.
Atoms (fractional coordinates):
Tb1 0.5000 0.5000 0.7823  4 Co 2.93, 1 Sc 3.16
Sc1 0.5000 0.5000 0.3613  4 Co 2.73
Cd1 0.0000 0.0000 0.0936  4 Sc 3.09, 4 Tb 3.31, 4 Cd 3.31, 1 Co 3.41
Co1 0.0000 0.0000 0.5475  4 Sc 2.73, 4 Tb 2.93

Output
Density of states at the Fermi level   2.85 states/eV/f.u.
M_tot   0.112 μB per atom
Energy above the lowest structure with this stoichiometry   0.000 eV per atom
SG   P4mm, No. 99


Entry 2:
VASP calculation (PBE) on CeNdEr2In4 after structural relaxation.

Cell lengths 5.3730, 5.3730, 9.3330 Å; angles 73.27, 73.27, 60.00 degrees
With the nearest neighbours (Å) after each atom.
Atoms (fractional coordinates):
Nd1 0.0000 0.0000 0.0000  8 In 3.29-3.30
In1 0.3750 0.3750 0.8750  4 Er 3.29-3.30, 3 Nd 3.29, 1 Ce 3.30
In2 0.8750 0.8750 0.3750  3 Ce 3.29, 4 Er 3.29-3.30, 1 Nd 3.30
In3 0.6250 0.6250 0.1250  4 Er 3.29-3.30, 3 Nd 3.29, 1 Ce 3.30
In4 0.1250 0.1250 0.6250  3 Ce 3.29, 4 Er 3.29-3.30, 1 Nd 3.30
Ce1 0.5000 0.5000 0.5000  8 In 3.29-3.30
Er1 0.7500 0.7500 0.7499  8 In 3.29-3.30
Er2 0.2500 0.2500 0.2501  8 In 3.29-3.30

Output
Density of states at the Fermi level   8.90 states/eV/f.u.
DFT total energy   -4.28 eV/atom
M_tot   0.117 μB per atom
SG   R-3m, No. 166


Entry 3:
VASP calculation (PBE) on CaPr12Nd7 after structural relaxation.

Cell lengths 10.2265, 10.2265, 10.2265 Å; angles 109.47, 109.47, 109.47 degrees
With the nearest neighbours (Å) after each atom.
Atoms (fractional coordinates):
Pr1 0.2546 0.7463 0.0009  2 Nd 2.95
Pr2 0.7454 0.2537 0.9991  2 Nd 2.95
Pr3 0.2546 0.2537 0.5084  2 Nd 2.95
Pr4 0.9991 0.7454 0.2537  2 Nd 2.95
Pr5 0.2537 0.9991 0.7454  2 Nd 2.95
Pr6 0.5084 0.2546 0.2537  2 Nd 2.95
Pr7 0.7463 0.4916 0.7454  2 Nd 2.95
Pr8 0.2537 0.5084 0.2546  2 Nd 2.95
Pr9 0.7454 0.7463 0.4916  2 Nd 2.95
Pr10 0.0009 0.2546 0.7463  2 Nd 2.95
Pr11 0.4916 0.7454 0.7463  2 Nd 2.95
Pr12 0.7463 0.0009 0.2546  2 Nd 2.95
Nd1 0.5000 0.5000 0.5000  6 Pr 2.95
Nd2 0.0000 0.0000 0.5000  6 Pr 2.95
Nd3 0.5000 0.5000 0.0000  12 Pr 4.11-4.18
Nd4 0.5000 0.0000 0.0000  6 Pr 2.95
Nd5 0.0000 0.5000 0.0000  6 Pr 2.95
Nd6 0.5000 0.0000 0.5000  12 Pr 4.11-4.18
Nd7 0.0000 0.5000 0.5000  12 Pr 4.11-4.18
Ca1 0.0000 0.0000 0.0000  12 Pr 4.24

Output
Density of states at the Fermi level   24.13 states/eV/f.u.
DFT total energy   -4.08 eV/atom
M_tot   0.000 μB per atom
SG   Im-3, No. 204


Entry 4:
VASP calculation (PBE) on TbInIrRh after structural relaxation.

Cell lengths 3.6150, 4.5229, 4.5137 Å; angles 90.00, 90.00, 90.00 degrees
With the nearest neighbours (Å) after each atom.
Atoms (fractional coordinates):
In1 0.5000 0.5000 0.0000  4 Rh 2.89, 4 Ir 2.90, 4 Tb 3.19
Ir1 0.0000 0.0000 0.0000  4 Tb 2.89, 4 In 2.90, 4 Rh 3.19
Tb1 0.5000 0.0000 0.5000  4 Ir 2.89, 4 Rh 2.90, 4 In 3.19
Rh1 0.0000 0.5000 0.5000  4 In 2.89, 4 Tb 2.90, 4 Ir 3.19

Output
Density of states at the Fermi level   0.88 states/eV/f.u.
M_tot   0.000 μB per atom
Energy above the lowest structure with this stoichiometry   0.000 eV per atom
SG   Pmmm, No. 47


Entry 5:
VASP calculation (PBE) on TbPrAgBi after structural relaxation.

Cell lengths 5.4037, 5.4037, 5.4037 Å; angles 60.00, 60.00, 60.00 degrees
With the nearest neighbours (Å) after each atom.
Atoms (fractional coordinates):
Ag1 0.7500 0.7500 0.7500  4 Pr 3.31, 4 Tb 3.31
Bi1 0.2500 0.2500 0.2500  4 Tb 3.31, 4 Pr 3.31
Pr1 0.5000 0.5000 0.5000  4 Bi 3.31, 4 Ag 3.31
Tb1 0.0000 0.0000 0.0000  4 Bi 3.31, 4 Ag 3.31

Output
Density of states at the Fermi level   4.01 states/eV/f.u.
DFT total energy   -4.49 eV/atom
M_tot   0.000 μB per atom
SG   F-43m, No. 216


Entry 6:
VASP calculation (PBE) on MgCo2Mo2 after structural relaxation.

Cell lengths 5.8177, 5.8177, 5.8177 Å; angles 140.81, 140.81, 56.63 degrees
With the nearest neighbours (Å) after each atom.
Atoms (fractional coordinates):
Mg1 0.0000 0.0000 0.0000  8 Co 2.96, 8 Mo 3.22
Co1 0.3956 0.3956 0.0000  1 Co 2.14
Co2 0.6044 0.6044 0.0000  1 Co 2.14
Mo1 0.2500 0.7500 0.5000  4 Co 2.46
Mo2 0.7500 0.2500 0.5000  4 Co 2.46

Output
Density of states at the Fermi level   5.76 states/eV/f.u.
M_tot   0.000 μB per atom
Energy above the lowest structure with this stoichiometry   0.139 eV per atom
SG   I4/mmm, No. 139